# 1
# Sr2MgGa4Ag3

A geometry-optimized Sr2MgGa4Ag3 structure (PBE, Alexandria via LeMat-Bulk).

Cell: 4.397 4.397 11.802 Å, 90.00 90.00 90.00°
Sites, in units of the cell vectors:
Mg  0.500  0.500  0.500
Ga  0.500  0.500  0.000
Ag  0.000  0.500  0.133
Ga  0.500  0.000  0.644
Ag  0.500  0.000  0.867
Ga  0.000  0.500  0.356
Sr  0.500  0.000  0.242
Ag  0.000  0.000  0.500
Ga  0.000  0.000  0.000
Sr  0.000  0.500  0.758

magnetization: 0.0 μB per cell
energy of formation: -0.3144 eV per atom


# 2
# SrMg2GaAg

A geometry-optimized SrMg2GaAg structure (PBE, Alexandria via LeMat-Bulk).

Cell: 6.323 5.891 6.323 Å, 90.00 90.00 90.00°
Sites, in units of the cell vectors:
Sr  0.000  0.000  0.000
Ag  0.500  0.500  0.500
Ga  0.000  0.500  0.000
Mg  0.000  0.000  0.500
Mg  0.500  0.000  0.000

magnetization: 0.0 μB per cell
energy of formation: 1.0767 eV per atom


# 3
# Sr2Mg12GaAg3

A geometry-optimized Sr2Mg12GaAg3 structure (PBE, Alexandria via LeMat-Bulk).

Cell: 11.635 11.635 11.635 Å, 35.79 35.79 35.79°
Sites, in units of the cell vectors:
Mg  0.624  0.092  0.092
Mg  0.376  0.908  0.908
Mg  0.908  0.376  0.908
Ag  0.000  0.500  0.000
Mg  0.092  0.624  0.092
Mg  0.593  0.180  0.593
Mg  0.407  0.820  0.407
Mg  0.820  0.407  0.407
Sr  0.358  0.358  0.358
Mg  0.180  0.593  0.593
Mg  0.908  0.908  0.376
Mg  0.092  0.092  0.624
Ga  0.000  0.000  0.000
Mg  0.593  0.593  0.180
Mg  0.407  0.407  0.820
Ag  0.500  0.000  0.000
Sr  0.642  0.642  0.642
Ag  0.000  0.000  0.500

magnetization: 0.0 μB per cell
energy of formation: 0.0820 eV per atom


# 4
# Sr2MgGa3Ag12

A geometry-optimized Sr2MgGa3Ag12 structure (PBE, Alexandria via LeMat-Bulk).

Cell: 8.335 8.335 8.335 Å, 64.24 64.24 64.24°
Sites, in units of the cell vectors:
Ag  0.355  0.355  0.887
Ag  0.133  0.626  0.133
Ag  0.867  0.867  0.374
Sr  0.391  0.391  0.391
Ag  0.374  0.867  0.867
Ga  0.500  0.000  0.000
Ga  0.000  0.500  0.000
Ag  0.645  0.113  0.645
Sr  0.609  0.609  0.609
Ag  0.113  0.645  0.645
Ag  0.867  0.374  0.867
Ag  0.645  0.645  0.113
Ag  0.133  0.133  0.626
Ag  0.626  0.133  0.133
Mg  0.000  0.000  0.000
Ag  0.355  0.887  0.355
Ga  0.000  0.000  0.500
Ag  0.887  0.355  0.355

magnetization: 0.0 μB per cell
energy of formation: 0.1745 eV per atom


# 5
# SrMgGa2Ag5

A geometry-optimized SrMgGa2Ag5 structure (PBE, Alexandria via LeMat-Bulk).

Cell: 4.990 4.990 7.865 Å, 90.00 90.00 90.00°
Sites, in units of the cell vectors:
Ga  0.500  0.500  0.157
Ga  0.500  0.500  0.843
Ag  0.500  0.500  0.500
Mg  0.000  0.000  0.000
Sr  0.000  0.000  0.500
Ag  0.000  0.500  0.760
Ag  0.500  0.000  0.240
Ag  0.500  0.000  0.760
Ag  0.000  0.500  0.240

magnetization: 0.0 μB per cell
energy of formation: -0.0515 eV per atom


# 6
# Sr2MgGaAg

A geometry-optimized Sr2MgGaAg structure (PBE, Alexandria via LeMat-Bulk).

Cell: 6.117 4.871 6.117 Å, 90.00 90.00 90.00°
Sites, in units of the cell vectors:
Ag  0.000  0.500  0.000
Ga  0.000  0.000  0.000
Mg  0.500  0.500  0.500
Sr  0.000  0.000  0.500
Sr  0.500  0.000  0.000

magnetization: 0.0 μB per cell
energy of formation: 0.0270 eV per atom


# 7
# Sr3MgGa2Ag6

A geometry-optimized Sr3MgGa2Ag6 structure (PBE, Alexandria via LeMat-Bulk).

Cell: 6.258 6.258 9.059 Å, 90.00 90.00 120.00°
Sites, in units of the cell vectors:
Sr  0.667  0.333  0.378
Ag  0.179  0.359  0.278
Ag  0.179  0.821  0.278
Ag  0.821  0.179  0.722
Sr  0.000  0.000  0.000
Ag  0.359  0.179  0.722
Mg  0.000  0.000  0.500
Ag  0.821  0.641  0.722
Ga  0.667  0.333  0.979
Ag  0.641  0.821  0.278
Sr  0.333  0.667  0.622
Ga  0.333  0.667  0.021

magnetization: 0.0 μB per cell
energy of formation: -0.1418 eV per atom


# 8
# TbMgGaAg

A geometry-optimized TbMgGaAg structure (PBE, Alexandria via LeMat-Bulk).

Cell: 4.913 4.913 4.913 Å, 60.00 60.00 60.00°
Sites, in units of the cell vectors:
Ga  0.750  0.750  0.750
Mg  0.000  0.000  0.000
Ag  0.250  0.250  0.250
Tb  0.500  0.500  0.500

magnetization: 0.0 μB per cell
energy of formation: -0.4157 eV per atom


# 9
# MgTlGaAg

A geometry-optimized MgTlGaAg structure (PBE, Alexandria via LeMat-Bulk).

Cell: 4.954 4.954 4.954 Å, 60.00 60.00 60.00°
Sites, in units of the cell vectors:
Mg  0.500  0.500  0.500
Tl  0.750  0.750  0.750
Ag  0.000  0.000  0.000
Ga  0.250  0.250  0.250

magnetization: 0.0 μB per cell
energy of formation: 0.0396 eV per atom


# 10
# TmMgGaAg

A geometry-optimized TmMgGaAg structure (PBE, Alexandria via LeMat-Bulk).

Cell: 4.865 4.865 4.865 Å, 60.00 60.00 60.00°
Sites, in units of the cell vectors:
Ga  0.750  0.750  0.750
Ag  0.250  0.250  0.250
Mg  0.500  0.500  0.500
Tm  0.000  0.000  0.000

magnetization: 0.0 μB per cell
energy of formation: -0.3985 eV per atom


# 11
# MgGa2AgW

A geometry-optimized MgGa2AgW structure (PBE, Alexandria via LeMat-Bulk).

Cell: 4.771 5.259 4.771 Å, 90.00 90.00 90.00°
Sites, in units of the cell vectors:
Ag  0.000  0.000  0.000
Ga  0.500  0.000  0.000
W  0.000  0.500  0.000
Ga  0.000  0.000  0.500
Mg  0.500  0.500  0.500

magnetization: 2.6 μB per cell
energy of formation: 1.2546 eV per atom


# 12
# YMgGa2Ag

A geometry-optimized YMgGa2Ag structure (PBE, Alexandria via LeMat-Bulk).

Cell: 4.934 4.867 4.934 Å, 90.00 90.00 90.00°
Sites, in units of the cell vectors:
Y  0.500  0.500  0.500
Ag  0.000  0.500  0.000
Ga  0.500  0.000  0.000
Mg  0.000  0.000  0.000
Ga  0.000  0.000  0.500

magnetization: 0.0 μB per cell
energy of formation: 0.1676 eV per atom